CeEr6Sc | GGA-PBE | optimized geometry

Unit cell a=8.6043 b=9.1592 c=6.3056 alpha=90.00 beta=98.20 gamma=90.00
Last column: nearest neighbours and their distance in Å.
Space group C2/m (No. 12)
One atom of each set of equivalent atoms:
1 Ce 0.0000 0.0000 0.0000 x2  2 Sc 3.15, 2 Er 3.39
2 Er 0.1552 0.5000 0.2021 x4  1 Sc 3.28, 9 Er 3.30-3.59, 1 Ce 3.39
3 Er 0.1651 0.3173 0.7080 x8  7 Er 3.30-3.59, 1 Sc 3.41, 1 Ce 3.60
4 Sc 0.0000 0.0000 0.5000 x2  2 Ce 3.15, 6 Er 3.28-3.41

Values from the calculation:
- ΔH_f (0 K) (meV/atom) = 153
- total moment (μB per cell) = 2.5
- Fermi-level density of states (states/eV/cell) = 33.00
- polymorph energy (0 for the lowest one) (meV/atom) = 0


CeMg2OsO8 | GGA-PBE | optimized geometry

Unit cell a=6.6147 b=6.7784 c=6.6372 alpha=90.00 beta=90.00 gamma=90.00
Last column: nearest neighbours and their distance in Å.
Space group Cmmm (No. 65)
One atom of each set of equivalent atoms:
1 Ce 0.0000 0.0000 0.0000 x2  2 O 2.04
2 Mg 0.0000 0.5000 0.2525 x4  6 O 2.10-2.18
3 Os 0.0000 0.0000 0.5000 x2  6 O 1.87-1.88
4 O 0.0000 0.1925 0.2969 x8  1 Os 1.88
5 O 0.1917 0.5000 0.0000 x4  1 Ce 2.04, 2 Mg 2.10
6 O 0.2169 0.5000 0.5000 x4  1 Os 1.87

Values from the calculation:
- energy relative to the elements, uncorrected (kJ/mol of atoms) = -198
- total moment (μB per cell) = 0.0
- Fermi-level density of states (states/eV/cell) = 3.05


NaAc2CeTe4 | GGA-PBE | optimized geometry

Unit cell a=7.9957 b=4.6449 c=8.1147 alpha=90.00 beta=109.49 gamma=90.00
Last column: nearest neighbours and their distance in Å.
Space group P2/m (No. 10)
One atom of each set of equivalent atoms:
1 Na 0.0000 0.0000 0.0000 x1  6 Te 3.22-3.23
2 Ac 0.5000 0.0000 0.5000 x1  6 Te 3.34-3.36
3 Ac 0.5000 0.5000 0.0000 x1  6 Te 3.35
4 Ce 0.0000 0.5000 0.5000 x1  6 Te 3.23
5 Te 0.2359 0.0000 0.7462 x2  1 Na 3.22, 2 Ce 3.23, 3 Ac 3.35-3.36
6 Te 0.2376 0.5000 0.2463 x2  1 Ce 3.23, 2 Na 3.23, 3 Ac 3.34-3.35

Values from the calculation:
- energy relative to the elements, uncorrected (kJ/mol of atoms) = -135
- total moment (μB per cell) = 1.4
- Fermi-level density of states (states/eV/cell) = 9.39


ZnPbI2N | GGA-PBE | optimized geometry

Unit cell a=6.1759 b=6.1759 c=4.7374 alpha=90.00 beta=90.00 gamma=90.00
Last column: nearest neighbours and their distance in Å.
Space group P4/mmm (No. 123)
One atom of each set of equivalent atoms:
1 Zn 0.0000 0.0000 0.0000 x1  8 I 3.89
2 Pb 0.5000 0.5000 0.5000 x1  2 N 2.37
3 I 0.0000 0.5000 0.5000 x2  2 Pb 3.09
4 N 0.5000 0.5000 0.0000 x1  2 Pb 2.37

Values from the calculation:
- energy relative to the elements, uncorrected (kJ/mol of atoms) = 77
- total moment (μB per cell) = 2.2
- Fermi-level density of states (states/eV/cell) = 4.31
- polymorph energy (0 for the lowest one) (meV/atom) = 420


Nb2TeRh | GGA-PBE | optimized geometry

Unit cell a=7.4298 b=7.4298 c=5.6603 alpha=90.00 beta=90.00 gamma=90.00
Last column: nearest neighbours and their distance in Å.
Space group I-42d (No. 122)
One atom of each set of equivalent atoms:
1 Nb 0.2288 0.7500 0.1250 x8  2 Rh 2.62, 2 Te 2.83, 2 Nb 2.85
2 Te 0.0000 0.0000 0.5000 x4  2 Rh 2.83, 4 Nb 2.83
3 Rh 0.0000 0.0000 0.0000 x4  4 Nb 2.62, 2 Te 2.83

Values from the calculation:
- energy relative to the elements, uncorrected (kJ/mol of atoms) = 12
- total moment (μB per cell) = 0.0
- Fermi-level density of states (states/eV/cell) = 14.71


NaEr6S8 | GGA-PBE | optimized geometry

Unit cell a=10.9135 b=10.9135 c=10.9135 alpha=90.00 beta=90.00 gamma=90.00
Last column: nearest neighbours and their distance in Å.
Space group Fm-3m (No. 225)
One atom of each set of equivalent atoms:
1 Na 0.0000 0.0000 0.0000 x4  6 S 2.77
2 Er 0.0000 0.2500 0.2500 x24  6 S 2.73
3 S 0.0000 0.0000 0.2534 x24  4 Er 2.73, 1 Na 2.77
4 S 0.2500 0.2500 0.2500 x8  6 Er 2.73

Values from the calculation:
- energy relative to the elements, uncorrected (kJ/mol of atoms) = -189
- total moment (μB per cell) = 0.0
- Fermi-level density of states (states/eV/cell) = 17.16
- polymorph energy (0 for the lowest one) (meV/atom) = 0


CeSnPd14 | GGA-PBE | optimized geometry

Unit cell a=5.7662 b=5.7662 c=7.8333 alpha=90.00 beta=90.00 gamma=90.00
Last column: nearest neighbours and their distance in Å.
Space group P4/mmm (No. 123)
One atom of each set of equivalent atoms:
1 Ce 0.0000 0.0000 0.0000 x1  12 Pd 2.86-2.88
2 Sn 0.5000 0.5000 0.0000 x1  12 Pd 2.84-2.88
3 Pd 0.0000 0.0000 0.5000 x1  12 Pd 2.82-2.88
4 Pd 0.0000 0.5000 0.0000 x2  8 Pd 2.85, 2 Sn 2.88, 2 Ce 2.88
5 Pd 0.0000 0.5000 0.5000 x2  12 Pd 2.81-2.88
6 Pd 0.2515 0.2515 0.2537 x8  10 Pd 2.80-2.90, 1 Sn 2.84, 1 Ce 2.86
7 Pd 0.5000 0.5000 0.5000 x1  12 Pd 2.80-2.88

Values from the calculation:
- ΔH_f (0 K) (meV/atom) = -335
- total moment (μB per cell) = 0.0
- Fermi-level density of states (states/eV/cell) = 21.57


NbZnI3 | GGA-PBE | optimized geometry

Unit cell a=5.5135 b=5.5135 c=5.5135 alpha=90.00 beta=90.00 gamma=90.00
Last column: nearest neighbours and their distance in Å.
Space group Pm-3m (No. 221)
One atom of each set of equivalent atoms:
1 Nb 0.0000 0.0000 0.0000 x1  12 I 3.90
2 Zn 0.5000 0.5000 0.5000 x1  6 I 2.76
3 I 0.0000 0.5000 0.5000 x3  2 Zn 2.76

Values from the calculation:
- energy relative to the elements, uncorrected (kJ/mol of atoms) = 62
- total moment (μB per cell) = 3.7
- Fermi-level density of states (states/eV/cell) = 6.36
- polymorph energy (0 for the lowest one) (meV/atom) = 543


Quick rundown of total energy, same order as above: -4.80 -7.06 -4.90 -2.48 -7.53 -6.08 -5.50 -2.55 eV per atom